PaCu2Ni9: optimized geometry, GGA-PBE.

Energy of formation from the pure elements in eV per formula unit: -1.35
Calculated total energy in eV for the cell shown: -213.21
M_tot in μB per formula unit: 1.90

a = 4.7605 Å, b = 4.7605 Å, c = 23.2043 Å
α = 90.00°, β = 90.00°, γ = 120.00°
Space group R-3m (No. 166, hexagonal axes)
Asymmetric unit:
Pa 0.0000 0.0000 0.0000 [3 per cell]
Cu 0.0000 0.0000 0.1478 [6 per cell]
Ni 0.0000 0.0000 0.3345 [6 per cell]
Ni 0.0000 0.0000 0.5000 [3 per cell]
Ni 0.0050 0.5025 0.9134 [18 per cell]



VRh2W: optimized geometry, GGA-PBE.

Energy of formation from the pure elements in eV per formula unit: 1.48
Calculated total energy in eV for the cell shown: -141.19
M_tot in μB per formula unit: 0.00

a = 3.832 Å, b = 3.832 Å, c = 17.244 Å
α = 90.00°, β = 90.00°, γ = 90.00°
Space group I-42d (No. 122)
Asymmetric unit:
V 0.000 0.000 0.000 [4 per cell]
Rh 0.242 0.250 0.125 [8 per cell]
W 0.000 0.000 0.500 [4 per cell]



Be2As2S: optimized geometry, GGA-PBE.

Calculated total energy in eV for the cell shown: -37.99
M_tot in μB per formula unit: 0.00
E_form (uncorrected) in kJ/mol of atoms: 36.3

a = 4.189 Å, b = 4.189 Å, c = 8.999 Å
α = 90.00°, β = 90.00°, γ = 90.00°
Space group I4/mmm (No. 139)
Asymmetric unit:
Be 0.000 0.500 0.250 [4 per cell]
As 0.000 0.000 0.135 [4 per cell]
S 0.000 0.000 0.500 [2 per cell]



AlHg2Sb: optimized geometry, GGA-PBE.

Calculated total energy in eV for the cell shown: -14.82
M_tot in μB per formula unit: 0.00
E_form (uncorrected) in kJ/mol of atoms: 25.5

a = 5.857 Å, b = 10.430 Å, c = 3.214 Å
α = 90.00°, β = 90.00°, γ = 90.00°
Space group Cmmm (No. 65)
Asymmetric unit:
Al 0.000 0.000 0.000 [2 per cell]
Hg 0.250 0.250 0.500 [4 per cell]
Sb 0.000 0.500 0.000 [2 per cell]



BaLi2Mn: optimized geometry, GGA-PBE.

Energy of formation from the pure elements in eV per formula unit: 1.95
Calculated total energy in eV for the cell shown: -12.97
M_tot in μB per formula unit: 3.65

a = 4.686 Å, b = 4.686 Å, c = 5.343 Å
α = 90.00°, β = 90.00°, γ = 90.00°
Space group P4/mmm (No. 123)
Asymmetric unit:
Ba 0.000 0.000 0.000 [1 per cell]
Li 0.000 0.500 0.500 [2 per cell]
Mn 0.500 0.500 0.000 [1 per cell]



Cu2TeCl2: optimized geometry, GGA-PBE.

Calculated total energy in eV for the cell shown: -28.71
M_tot in μB per formula unit: 0.00
E_form (uncorrected) in kJ/mol of atoms: 13.0

a = 7.514 Å, b = 7.514 Å, c = 3.378 Å
α = 90.00°, β = 90.00°, γ = 90.00°
Space group P4/mbm (No. 127)
Asymmetric unit:
Cu 0.130 0.370 0.000 [4 per cell]
Te 0.000 0.000 0.000 [2 per cell]
Cl 0.142 0.642 0.500 [4 per cell]



MnTcRu: optimized geometry, GGA-PBE.

Energy of formation from the pure elements in eV per formula unit: 0.41
Calculated total energy in eV for the cell shown: -28.41
M_tot in μB per formula unit: 1.11

a = 2.6783 Å, b = 2.6783 Å, c = 6.4760 Å
α = 90.00°, β = 90.00°, γ = 120.00°
Space group P3m1 (No. 156)
Asymmetric unit:
Mn 0.0000 0.0000 0.0000 [1 per cell]
Tc 0.3333 0.6667 0.6720 [1 per cell]
Ru 0.6667 0.3333 0.3195 [1 per cell]



LiSiSn: optimized geometry, GGA-PBE.

Calculated total energy in eV for the cell shown: -45.65
M_tot in μB per formula unit: 0.00
E_form (uncorrected) in kJ/mol of atoms: -2.4

a = 3.654 Å, b = 18.973 Å, c = 3.632 Å
α = 90.00°, β = 90.00°, γ = 90.00°
Space group Cmcm (No. 63)
Asymmetric unit:
Li 0.000 0.080 0.250 [4 per cell]
Si 0.000 0.463 0.250 [4 per cell]
Sn 0.000 0.318 0.250 [4 per cell]



CdTcAu2: optimized geometry, GGA-PBE.

Energy of formation from the pure elements in eV per formula unit: 0.91
Calculated total energy in eV for the cell shown: -33.85
M_tot in μB per formula unit: 0.00

a = 5.895 Å, b = 8.576 Å, c = 2.759 Å
α = 90.00°, β = 90.00°, γ = 90.00°
Space group Cmmm (No. 65)
Asymmetric unit:
Cd 0.000 0.000 0.000 [2 per cell]
Tc 0.000 0.500 0.000 [2 per cell]
Au 0.250 0.250 0.500 [4 per cell]



AlBiAsPd2: optimized geometry, GGA-PBE.

Energy of formation from the pure elements in eV per formula unit: 4.68
Calculated total energy in eV for the cell shown: -17.97
M_tot in μB per formula unit: 0.00

a = 5.098 Å, b = 5.098 Å, c = 5.292 Å
α = 90.00°, β = 90.00°, γ = 90.00°
Space group P4/mmm (No. 123)
Asymmetric unit:
Al 0.000 0.000 0.000 [1 per cell]
Bi 0.000 0.000 0.500 [1 per cell]
As 0.500 0.500 0.000 [1 per cell]
Pd 0.000 0.500 0.500 [2 per cell]



La2Os2Au: optimized geometry, GGA-PBE.

Energy of formation from the pure elements in eV per formula unit: -0.36
Calculated total energy in eV for the cell shown: -71.91
M_tot in μB per formula unit: 0.00

a = 7.132 Å, b = 7.132 Å, c = 4.555 Å
α = 90.00°, β = 90.00°, γ = 90.00°
Space group P4/mbm (No. 127)
Asymmetric unit:
La 0.182 0.318 0.000 [4 per cell]
Os 0.118 0.618 0.500 [4 per cell]
Au 0.000 0.000 0.500 [2 per cell]



Ce4SnHg5: optimized geometry, GGA-PBE.

Energy of formation from the pure elements in eV per formula unit: -3.59
Calculated total energy in eV for the cell shown: -65.67
M_tot in μB per formula unit: 3.99

a = 16.421 Å, b = 5.209 Å, c = 6.616 Å
α = 90.00°, β = 104.94°, γ = 90.00°
Space group C2/m (No. 12)
Asymmetric unit:
Ce 0.094 0.000 0.345 [4 per cell]
Ce 0.188 0.500 0.829 [4 per cell]
Sn 0.000 0.500 0.500 [2 per cell]
Hg 0.000 0.500 0.000 [2 per cell]
Hg 0.099 0.000 0.872 [4 per cell]
Hg 0.218 0.500 0.340 [4 per cell]



Cs2InSn2: optimized geometry, GGA-PBE.

Energy of formation from the pure elements in eV per formula unit: 0.93
Calculated total energy in eV for the cell shown: -23.04
M_tot in μB per formula unit: 0.00

a = 5.797 Å, b = 5.797 Å, c = 15.189 Å
α = 90.00°, β = 90.00°, γ = 90.00°
Space group I4/mmm (No. 139)
Asymmetric unit:
Cs 0.000 0.500 0.250 [4 per cell]
In 0.000 0.000 0.000 [2 per cell]
Sn 0.000 0.000 0.414 [4 per cell]



AlAgCF2: optimized geometry, GGA-PBE.

Calculated total energy in eV for the cell shown: -17.62
M_tot in μB per formula unit: 0.00
E_form (uncorrected) in kJ/mol of atoms: 37.4

a = 4.420 Å, b = 4.420 Å, c = 4.066 Å
α = 90.00°, β = 90.00°, γ = 90.00°
Space group P4/mmm (No. 123)
Asymmetric unit:
Al 0.000 0.000 0.000 [1 per cell]
Ag 0.500 0.500 0.500 [1 per cell]
C 0.500 0.500 0.000 [1 per cell]
F 0.000 0.500 0.500 [2 per cell]



VCo3: optimized geometry, GGA-PBE.

Energy of formation from the pure elements in eV per formula unit: -0.21
Calculated total energy in eV for the cell shown: -30.65
M_tot in μB per formula unit: 1.59

a = 2.560 Å, b = 4.007 Å, c = 4.318 Å
α = 90.00°, β = 90.00°, γ = 90.00°
Space group Pmm2 (No. 25)
Asymmetric unit:
V 0.000 0.000 0.000 [1 per cell]
Co 0.000 0.500 0.343 [1 per cell]
Co 0.500 0.000 0.491 [1 per cell]
Co 0.500 0.500 0.830 [1 per cell]



LaHgPd2: optimized geometry, GGA-PBE.

Energy of formation from the pure elements in eV per formula unit: -1.26
Calculated total energy in eV for the cell shown: -67.50
M_tot in μB per formula unit: 0.00

a = 4.510 Å, b = 4.510 Å, c = 18.731 Å
α = 90.00°, β = 90.00°, γ = 90.00°
Space group I-42d (No. 122)
Asymmetric unit:
La 0.000 0.000 0.000 [4 per cell]
Hg 0.000 0.000 0.500 [4 per cell]
Pd 0.213 0.250 0.625 [8 per cell]



LiW2Se: optimized geometry, GGA-PBE.

Calculated total energy in eV for the cell shown: -56.53
M_tot in μB per formula unit: 0.00
E_form (uncorrected) in kJ/mol of atoms: 73.4

a = 5.247 Å, b = 8.305 Å, c = 2.873 Å
α = 90.00°, β = 90.00°, γ = 90.00°
Space group Cmmm (No. 65)
Asymmetric unit:
Li 0.000 0.000 0.000 [2 per cell]
W 0.250 0.250 0.500 [4 per cell]
Se 0.000 0.500 0.000 [2 per cell]



Rb3CeI7: optimized geometry, GGA-PBE.

Calculated total energy in eV for the cell shown: -68.02
M_tot in μB per formula unit: 0.19
E_form (uncorrected) in kJ/mol of atoms: -125.6

a = 12.799 Å, b = 11.664 Å, c = 9.515 Å
α = 90.00°, β = 127.15°, γ = 90.00°
Space group Cm (No. 8)
Asymmetric unit:
Rb 0.000 0.000 0.000 [2 per cell]
Rb 0.012 0.278 0.591 [4 per cell]
Ce 0.061 0.500 0.145 [2 per cell]
I 0.128 0.249 0.309 [4 per cell]
I 0.204 0.500 0.974 [2 per cell]
I 0.364 0.500 0.522 [2 per cell]
I 0.366 0.169 0.834 [4 per cell]
I 0.370 0.000 0.242 [2 per cell]



BaTa: optimized geometry, GGA-PBE.

Energy of formation from the pure elements in eV per formula unit: 1.81
Calculated total energy in eV for the cell shown: -23.94
M_tot in μB per formula unit: 0.00

a = 3.5603 Å, b = 3.5603 Å, c = 11.4199 Å
α = 90.00°, β = 90.00°, γ = 120.00°
Space group P-3m1 (No. 164)
Asymmetric unit:
Ba 0.3333 0.6667 0.1744 [2 per cell]
Ta 0.3333 0.6667 0.5776 [2 per cell]



ScCuOs: optimized geometry, GGA-PBE.

Energy of formation from the pure elements in eV per formula unit: 2.46
Calculated total energy in eV for the cell shown: -76.81
M_tot in μB per formula unit: 0.00

a = 6.066 Å, b = 6.066 Å, c = 6.066 Å
α = 90.00°, β = 90.00°, γ = 90.00°
Space group F-43m (No. 216)
Asymmetric unit:
Sc 0.000 0.000 0.000 [4 per cell]
Cu 0.250 0.250 0.250 [4 per cell]
Os 0.250 0.250 0.750 [4 per cell]